Entry 1:
{"formula": "CeHoCrN3", "functional": "PBE", "state": "optimized geometry", "dft_energy_ev_per_atom": -8.675, "dos_at_fermi_per_ev_cell": 9.85, "lattice_angstrom": [[7.224, 0.000, 0.000], [0.000, 3.405, 0.000], [-1.055, 0.000, 7.327]], "species": ["Ce", "Ce", "Ho", "Ho", "Cr", "Cr", "N", "N", "N", "N", "N", "N"], "frac_coords": [[0.170, 0.250, 0.176], [0.830, 0.750, 0.824], [0.361, 0.750, 0.830], [0.639, 0.250, 0.170], [0.081, 0.250, 0.598], [0.919, 0.750, 0.402], [0.121, 0.250, 0.852], [0.165, 0.750, 0.526], [0.394, 0.750, 0.147], [0.606, 0.250, 0.853], [0.835, 0.250, 0.474], [0.879, 0.750, 0.148]]}


Entry 2:
{"formula": "CeHo2CrN4", "functional": "PBE", "state": "optimized geometry", "dft_energy_ev_per_atom": -8.530, "dos_at_fermi_per_ev_cell": 13.13, "lattice_angstrom": [[1.688, -5.740, 0.000], [1.688, 5.740, 0.000], [0.000, 0.000, 11.579]], "species": ["Ce", "Ce", "Ho", "Ho", "Ho", "Ho", "Cr", "Cr", "N", "N", "N", "N", "N", "N", "N", "N"], "frac_coords": [[0.097, 0.903, 0.750], [0.903, 0.097, 0.250], [0.369, 0.631, 0.544], [0.369, 0.631, 0.956], [0.631, 0.369, 0.044], [0.631, 0.369, 0.456], [0.165, 0.835, 0.250], [0.835, 0.165, 0.750], [0.000, 0.000, 0.000], [0.000, 0.000, 0.500], [0.268, 0.732, 0.129], [0.268, 0.732, 0.371], [0.427, 0.573, 0.750], [0.573, 0.427, 0.250], [0.732, 0.268, 0.629], [0.732, 0.268, 0.871]]}